Record 1
ZrIn2 | PBEsol | relaxed

abc: 6.1728 4.2258 9.9410
angles: 90.00 90.00 90.00
Last column: nearest neighbours and their distance in Å.
Positions (direct):
Zr  0.1174  0.2500  0.1028  10 In 2.97-3.33, 2 Zr 3.28
Zr  0.3826  0.7500  0.6028  10 In 2.97-3.33, 2 Zr 3.28
Zr  0.6174  0.2500  0.3972  10 In 2.97-3.33, 2 Zr 3.28
Zr  0.8826  0.7500  0.8972  10 In 2.97-3.33, 2 Zr 3.28
In  0.1236  0.2500  0.4323  4 In 2.93-3.01, 5 Zr 3.07-3.28
In  0.1513  0.2500  0.7688  5 Zr 2.97-3.33, 4 In 3.01-3.11
In  0.3487  0.7500  0.2688  5 Zr 2.97-3.33, 4 In 3.01-3.11
In  0.3764  0.7500  0.9323  4 In 2.93-3.01, 5 Zr 3.07-3.28
In  0.6236  0.2500  0.0677  4 In 2.93-3.01, 5 Zr 3.07-3.28
In  0.6513  0.2500  0.7312  5 Zr 2.97-3.33, 4 In 3.01-3.11
In  0.8487  0.7500  0.2312  5 Zr 2.97-3.33, 4 In 3.01-3.11
In  0.8764  0.7500  0.5677  4 In 2.93-3.01, 5 Zr 3.07-3.28

Results
ΔE_f: -33.06 kJ per mole of atoms
Theoretical density: 8219 kg/m3

Record 2
Ce2Ni12As7 | PBEsol | relaxed

abc: 9.2481 9.2481 3.8259
angles: 90.00 90.00 120.00
Last column: nearest neighbours and their distance in Å.
Positions (direct):
Ce  0.0000  0.0000  0.0000  6 As 2.99, 12 Ni 3.10-3.21
Ce  0.3333  0.6667  0.5000  6 As 2.98, 9 Ni 3.04-3.18
Ni  0.0442  0.7584  0.5000  4 As 2.35-2.43, 1 Ni 2.61
Ni  0.1078  0.3883  0.0000  4 As 2.32-2.37, 1 Ni 2.52
Ni  0.2416  0.2857  0.5000  4 As 2.35-2.43, 1 Ni 2.61
Ni  0.2804  0.8922  0.0000  4 As 2.32-2.37, 1 Ni 2.52
Ni  0.3869  0.2013  0.0000  4 As 2.24-2.36
Ni  0.5579  0.1258  0.5000  5 As 2.40-2.58, 1 Ni 2.61
Ni  0.5679  0.4421  0.5000  5 As 2.40-2.58, 1 Ni 2.61
Ni  0.6117  0.7196  0.0000  4 As 2.32-2.37, 1 Ni 2.52
Ni  0.7143  0.9558  0.5000  4 As 2.35-2.43, 1 Ni 2.61
Ni  0.7987  0.1856  0.0000  4 As 2.24-2.36
Ni  0.8144  0.6131  0.0000  4 As 2.24-2.36
Ni  0.8742  0.4321  0.5000  5 As 2.40-2.58, 1 Ni 2.61
As  0.0644  0.6164  0.0000  5 Ni 2.30-2.38
As  0.2649  0.0357  0.5000  7 Ni 2.35-2.43
As  0.3836  0.4480  0.0000  5 Ni 2.30-2.38
As  0.5520  0.9356  0.0000  5 Ni 2.30-2.38
As  0.6667  0.3333  0.0000  3 Ni 2.24
As  0.7708  0.7351  0.5000  7 Ni 2.35-2.43
As  0.9643  0.2292  0.5000  7 Ni 2.35-2.43

Results
ΔE_f: -54.65 kJ per mole of atoms
Theoretical density: 8842 kg/m3

Record 3
HfCuGeAu2 | PBEsol | relaxed

abc: 5.0391 5.0391 5.1034
angles: 90.00 90.00 90.00
Last column: nearest neighbours and their distance in Å.
Positions (direct):
Hf  0.0000  0.0000  0.0000  4 Au 2.52, 2 Ge 2.55
Cu  0.5000  0.5000  0.5000  4 Ge 3.56, 8 Au 3.59
Ge  0.0000  0.0000  0.5000  2 Hf 2.55
Au  0.0000  0.5000  0.0000  2 Hf 2.52
Au  0.5000  0.0000  0.0000  2 Hf 2.52

Results
ΔE_f: 107.33 kJ per mole of atoms
Theoretical density: 9080 kg/m3

Record 4
MgZnRh2 | PBEsol | relaxed

abc: 4.7970 4.7970 4.7970
angles: 133.83 133.83 67.35
Last column: nearest neighbours and their distance in Å.
Positions (direct):
Mg  0.0000  0.0000  0.0000  8 Rh 2.66-2.74, 4 Zn 2.74
Zn  0.2500  0.7500  0.5000  8 Rh 2.66-2.74, 4 Mg 2.74
Rh  0.5000  0.5000  0.0000  4 Mg 2.66, 4 Rh 2.74, 4 Zn 2.74
Rh  0.7500  0.2500  0.5000  4 Zn 2.66, 4 Rh 2.74, 4 Mg 2.74

Results
ΔE_f: -23.47 kJ per mole of atoms
Theoretical density: 8688 kg/m3

Record 5
BeRu2Pb | PBEsol | relaxed

abc: 4.4415 4.4415 4.9130
angles: 107.45 107.45 39.48
Last column: nearest neighbours and their distance in Å.
Positions (direct):
Be  0.0000  0.0000  0.0000  4 Ru 2.32
Ru  0.2819  0.2819  0.8029  2 Be 2.32
Ru  0.7181  0.7181  0.1971  2 Be 2.32
Pb  0.5000  0.5000  0.5000  6 Ru 2.70-2.79, 4 Be 2.88, 2 Pb 3.00

Results
ΔE_f: 32.74 kJ per mole of atoms
Relative energy among the computed polymorphs: 0.000 eV/atom
Theoretical density: 11894 kg/m3

Record 6
BaYP2Br | PBEsol | relaxed

abc: 5.1977 5.1977 5.5063
angles: 90.00 90.00 90.00
Last column: nearest neighbours and their distance in Å.
Positions (direct):
Ba  0.0000  0.0000  0.0000  2 Br 2.75
Y  0.5000  0.5000  0.0000  4 Ba 3.68, 8 P 3.79
P  0.0000  0.5000  0.5000  2 Br 2.60
P  0.5000  0.0000  0.5000  2 Br 2.60
Br  0.0000  0.0000  0.5000  4 P 2.60, 2 Ba 2.75

Results
Uncorrected energy: -4.058 eV per atom
Theoretical density: 4109 kg/m3

Record 7
BaZn2Sb | PBEsol | relaxed

abc: 5.3231 5.3231 5.3231
angles: 60.00 60.00 60.00
Last column: nearest neighbours and their distance in Å.
Positions (direct):
Ba  0.0000  0.0000  0.0000  4 Sb 3.26, 4 Zn 3.26
Zn  0.5000  0.5000  0.5000  4 Sb 3.26, 4 Zn 3.26
Zn  0.7500  0.7500  0.7500  4 Zn 3.26, 4 Ba 3.26
Sb  0.2500  0.2500  0.2500  4 Zn 3.26, 4 Ba 3.26

Results
Uncorrected energy: -2.564 eV per atom
Theoretical density: 6071 kg/m3

Record 8
Li2V3CrO8 | PBEsol | relaxed

abc: 5.7186 5.7186 5.8470
angles: 119.41 119.41 60.02
Last column: nearest neighbours and their distance in Å.
Positions (direct):
Li  0.1263  0.1263  0.3784  4 O 1.92-1.94
Li  0.8737  0.8737  0.6216  4 O 1.92-1.94
V  0.0000  0.5000  0.0000  6 O 1.95-1.96
V  0.5000  0.0000  0.0000  6 O 1.95-1.96
V  0.5000  0.5000  0.0000  6 O 1.95-1.96
Cr  0.5000  0.5000  0.5000  6 O 1.97
O  0.2595  0.2595  0.2352  1 Li 1.92, 2 V 1.95, 1 Cr 1.97
O  0.2600  0.2600  0.7807  1 Li 1.94, 3 V 1.96
O  0.2604  0.7162  0.2362  1 Li 1.92, 2 V 1.95, 1 Cr 1.97
O  0.2838  0.7396  0.7638  1 Li 1.92, 2 V 1.95, 1 Cr 1.97
O  0.7162  0.2604  0.2362  1 Li 1.92, 2 V 1.95, 1 Cr 1.97
O  0.7396  0.2838  0.7638  1 Li 1.92, 2 V 1.95, 1 Cr 1.97
O  0.7400  0.7400  0.2193  1 Li 1.94, 3 V 1.96
O  0.7405  0.7405  0.7648  1 Li 1.92, 2 V 1.95, 1 Cr 1.97

Results
Relative energy among the computed polymorphs: 0.003 eV/atom
Theoretical density: 4220 kg/m3